# 1
Density functional theory data (PBE) for BiTe2Pt after structural relaxation.

abc: 9.479 9.479 9.479
angles: 24.21 24.21 24.21
Atoms (fractional coordinates):
Te1 0.886 0.886 0.886
Te2 0.114 0.114 0.114
Bi1 0.000 0.000 0.000
Pt1 0.500 0.500 0.500

Properties
E_form (uncorrected)   -0.142 eV/atom
Space-group type   R-3m, No. 166
Crystal system   trigonal
N(E_F)   0.714 states/eV/atom

***

# 2
Density functional theory data (PBE) for BiTe2Pt after structural relaxation.

abc: 12.828 12.828 12.828
angles: 14.43 14.43 14.43
Atoms (fractional coordinates):
Te1 0.068 0.068 0.068
Te2 0.932 0.932 0.932
Bi1 0.500 0.500 0.500
Pt1 0.000 0.000 0.000

Properties
E_form (uncorrected)   0.242 eV/atom
Space-group type   R-3m, No. 166
Crystal system   trigonal
N(E_F)   0.522 states/eV/atom

***

# 3
Density functional theory data (PBE) for BiTe3Pt2 after structural relaxation.

abc: 5.383 8.237 8.237
angles: 120.00 90.00 90.00
Atoms (fractional coordinates):
Bi1 0.293 0.667 0.333
Bi2 0.707 0.333 0.667
Te1 0.757 0.342 0.171
Te2 0.757 0.829 0.658
Te3 0.757 0.829 0.171
Te4 0.243 0.171 0.829
Te5 0.243 0.658 0.829
Te6 0.243 0.171 0.342
Pt1 0.000 0.000 0.000
Pt2 0.000 0.500 0.500
Pt3 0.000 0.500 0.000
Pt4 0.000 0.000 0.500

Properties
E_form (uncorrected)   -0.373 eV/atom
Space-group type   P-3m1, No. 164
Crystal system   trigonal
N(E_F)   0.568 states/eV/atom

***

# 4
Density functional theory data (PBE) for BiTePt2 after structural relaxation.

abc: 4.172 4.172 13.094
angles: 90.00 90.00 120.00
Atoms (fractional coordinates):
Bi1 0.000 0.000 0.154
Bi2 0.000 0.000 0.846
Te1 0.667 0.333 0.373
Te2 0.333 0.667 0.627
Pt1 0.333 0.667 0.281
Pt2 0.667 0.333 0.719
Pt3 0.667 0.333 0.949
Pt4 0.333 0.667 0.051

Properties
E_form (uncorrected)   -0.239 eV/atom
Space-group type   P-3m1, No. 164
Relative energy among the computed polymorphs   0.000 eV per atom
Crystal system   trigonal
N(E_F)   0.645 states/eV/atom

***

# 5
Density functional theory data (PBE) for Bi2Te2Pt3 after structural relaxation.

abc: 4.134 7.070 7.080
angles: 105.04 106.98 90.00
Atoms (fractional coordinates):
Bi1 0.367 0.116 0.735
Bi2 0.633 0.884 0.265
Te1 0.148 0.331 0.296
Te2 0.852 0.669 0.704
Pt1 0.000 0.000 0.000
Pt2 0.237 0.736 0.475
Pt3 0.763 0.264 0.525

Properties
E_form (uncorrected)   -0.229 eV/atom
Space-group type   C2/m, No. 12
Relative energy among the computed polymorphs   0.062 eV per atom
Crystal system   monoclinic
N(E_F)   0.639 states/eV/atom

***

# 6
Density functional theory data (PBE) for Bi2TePt2 after structural relaxation.

abc: 4.198 5.488 11.685
angles: 108.90 90.00 90.00
Atoms (fractional coordinates):
Bi1 0.250 0.829 0.873
Bi2 0.750 0.171 0.127
Bi3 0.250 0.764 0.542
Bi4 0.750 0.236 0.458
Te1 0.250 0.747 0.233
Te2 0.750 0.253 0.767
Pt1 0.250 0.334 0.633
Pt2 0.750 0.666 0.367
Pt3 0.250 0.362 0.024
Pt4 0.750 0.638 0.976

Properties
E_form (uncorrected)   -0.248 eV/atom
Space-group type   P2_1/m, No. 11
Relative energy among the computed polymorphs   0.000 eV per atom
Crystal system   monoclinic
N(E_F)   0.472 states/eV/atom

***

# 7
Density functional theory data (PBE) for Tl2BiTePt after structural relaxation.

abc: 5.312 5.312 5.575
angles: 90.00 90.00 90.00
Atoms (fractional coordinates):
Tl1 0.000 0.500 0.000
Tl2 0.500 0.000 0.000
Te1 0.500 0.500 0.500
Bi1 0.000 0.000 0.500
Pt1 0.000 0.000 0.000

Properties
E_form (uncorrected)   -0.051 eV/atom
Space-group type   P4/mmm, No. 123
Crystal system   tetragonal
N(E_F)   0.707 states/eV/atom

***

# 8
Density functional theory data (PBE) for Tm6BiTe3Pt2 after structural relaxation.

abc: 4.198 8.687 9.689
angles: 106.03 102.51 90.00
Atoms (fractional coordinates):
Tm1 0.327 0.862 0.653
Tm2 0.674 0.574 0.347
Tm3 0.673 0.138 0.347
Tm4 0.018 0.260 0.036
Tm5 0.982 0.740 0.964
Tm6 0.326 0.426 0.653
Bi1 0.500 0.000 0.000
Te1 0.500 0.500 0.000
Te2 0.841 0.151 0.682
Te3 0.159 0.849 0.318
Pt1 0.827 0.644 0.655
Pt2 0.173 0.356 0.345

Properties
E_form (uncorrected)   -1.174 eV/atom
Space-group type   C2/m, No. 12
Crystal system   monoclinic
N(E_F)   0.533 states/eV/atom

***

# 9
Density functional theory data (PBE) for ThBiPt10 after structural relaxation.

abc: 4.477 5.410 9.304
angles: 90.00 90.00 90.00
Atoms (fractional coordinates):
Th1 0.000 0.000 0.000
Bi1 0.000 0.500 0.500
Pt1 0.000 0.000 0.334
Pt2 0.000 0.500 0.829
Pt3 0.000 0.500 0.171
Pt4 0.000 0.000 0.666
Pt5 0.500 0.000 0.500
Pt6 0.500 0.500 0.000
Pt7 0.500 0.245 0.244
Pt8 0.500 0.755 0.756
Pt9 0.500 0.755 0.244
Pt10 0.500 0.245 0.756

Properties
Formation enthalpy at 0 K   -428 meV per atom
Space-group type   Pmmm, No. 47
Crystal system   orthorhombic
N(E_F)   0.844 states/eV/atom

***

# 10
Density functional theory data (PBE) for ThBi2Pt after structural relaxation.

abc: 3.612 3.612 10.626
angles: 80.22 80.22 60.00
Atoms (fractional coordinates):
Pt1 0.500 0.500 0.500
Bi1 0.106 0.106 0.681
Bi2 0.894 0.894 0.319
Th1 0.000 0.000 0.000

Properties
Formation enthalpy at 0 K   27 meV per atom
Space-group type   R-3m, No. 166
Crystal system   trigonal
N(E_F)   0.986 states/eV/atom

***

# 11
Density functional theory data (PBE) for Th3BiPt after structural relaxation.

abc: 5.351 7.905 8.536
angles: 117.58 90.00 90.00
Atoms (fractional coordinates):
Th1 0.500 0.316 0.000
Th2 0.000 0.876 0.752
Th3 0.500 0.684 0.000
Th4 0.500 0.500 0.500
Th5 0.000 0.124 0.248
Th6 0.500 0.000 0.500
Bi1 0.000 0.645 0.291
Bi2 0.000 0.355 0.709
Pt1 0.500 0.098 0.196
Pt2 0.500 0.902 0.804

Properties
Formation enthalpy at 0 K   -423 meV per atom
Space-group type   Cmmm, No. 65
Crystal system   orthorhombic
N(E_F)   1.266 states/eV/atom

***

# 12
Density functional theory data (PBE) for Th3Bi4Pt3 after structural relaxation.

abc: 8.774 8.774 8.774
angles: 109.47 109.47 109.47
Atoms (fractional coordinates):
Th1 0.625 0.750 0.875
Th2 0.875 0.250 0.625
Th3 0.125 0.375 0.250
Th4 0.375 0.125 0.750
Th5 0.250 0.875 0.125
Th6 0.750 0.625 0.375
Bi1 0.000 0.000 0.322
Bi2 0.500 0.322 0.500
Bi3 0.678 0.178 0.178
Bi4 0.000 0.000 0.822
Bi5 0.822 0.500 0.000
Bi6 0.500 0.822 0.500
Bi7 0.322 0.500 0.000
Bi8 0.178 0.678 0.678
Pt1 0.125 0.750 0.375
Pt2 0.375 0.250 0.125
Pt3 0.625 0.875 0.250
Pt4 0.875 0.625 0.750
Pt5 0.250 0.375 0.625
Pt6 0.750 0.125 0.875

Properties
Formation enthalpy at 0 K   -920 meV per atom
Space-group type   I-43d, No. 220
Crystal system   cubic

***

V (computed, Å³ per atom): 31.48; 28.54; 26.36; 24.67; 27.21; 25.47; 31.46; 27.57; 18.78; 29.42; 32.01; 26.00